Density functional theory data (PBE+U) for a relaxed structure of FeTcN2O.

abc: 3.8833 3.8833 3.8788
angles: 90.00 90.00 90.00
Each line ends with the local moment (μB).
Sites, in units of the cell vectors:
N1 0.0000 0.5000 0.0000  -0.04
N2 0.5000 0.0000 0.0000  -0.04
Tc1 0.0000 0.0000 0.0000  0.01
O1 0.0000 0.0000 0.5000  0.04
Fe1 0.5000 0.5000 0.5000  3.77

Results
symmetry	P4/mmm
M_tot	3.792	μB/f.u.
E	-7.257	eV/atom